Material: Ca2YCrO5
Method: DFT, PBE with a Hubbard U
State: relaxed

The structure in POSCAR format:
```
Ca2YCrO5
1.0
-0.276 -2.896 -8.389
6.697 -0.218 -5.826
-2.398 -2.125 8.281
Y Cr Ca O
2 2 4 10
direct
0.706 0.708 0.913
0.294 0.208 0.002
0.500 0.516 0.016
0.000 0.016 0.016
0.376 0.898 0.470
0.072 0.594 0.470
0.624 0.094 0.522
0.928 0.398 0.522
0.668 0.304 0.472
0.332 0.804 0.636
0.294 0.415 0.963
0.706 0.669 0.121
0.952 0.915 0.121
0.048 0.169 0.963
0.265 0.782 0.007
0.735 0.742 0.517
0.725 0.242 0.007
0.275 0.282 0.517
```

Calculated values
The value obtained for the raw total energy is -7.50 eV per atom.